1.
# PBE PmSc3Co, relaxed
data_PmSc3Co
_chemical_formula_sum 'Pm2 Sc6 Co2'
_cell_length_a 3.557
_cell_length_b 6.454
_cell_length_c 10.523
_cell_angle_alpha 92.05
_cell_angle_beta 90.00
_cell_angle_gamma 106.00
_space_group_name_H-M_alt 'P 1'
_space_group_IT_number 1
_space_group_name_Hall 'P 1'
loop_
_atom_site_label
_atom_site_type_symbol
_atom_site_fract_x
_atom_site_fract_y
_atom_site_fract_z
_atom_site_occupancy
Sc1 Sc 0.060 0.120 0.375 1
Sc2 Sc 0.577 0.154 0.820 1
Sc3 Sc 0.776 0.552 0.369 1
Sc4 Sc 0.423 0.846 0.180 1
Sc5 Sc 0.224 0.448 0.631 1
Sc6 Sc 0.940 0.880 0.625 1
Pm1 Pm 0.849 0.697 0.915 1
Pm2 Pm 0.151 0.303 0.085 1
Co1 Co 0.591 0.183 0.560 1
Co2 Co 0.409 0.817 0.440 1
# Energy relative to the lowest polymorph listed for this composition = 0.0 meV/atom
# Formation energy = -0.636 eV per formula unit
# Space group = C2/m

2.
# PBE Ba3CaAc3S8, relaxed
data_Ba3CaAc3S8
_chemical_formula_sum 'Ba3 Ca1 Ac3 S8'
_cell_length_a 8.698
_cell_length_b 8.698
_cell_length_c 8.886
_cell_angle_alpha 119.30
_cell_angle_beta 90.00
_cell_angle_gamma 120.00
_space_group_name_H-M_alt 'P 1'
_space_group_IT_number 1
_space_group_name_Hall 'P 1'
loop_
_atom_site_label
_atom_site_type_symbol
_atom_site_fract_x
_atom_site_fract_y
_atom_site_fract_z
_atom_site_occupancy
S1 S 0.751 0.984 0.718 1
S2 S 0.744 0.489 0.733 1
S3 S 0.249 0.016 0.282 1
S4 S 0.256 0.511 0.267 1
S5 S 0.766 0.532 0.282 1
S6 S 0.234 0.468 0.718 1
S7 S 0.234 0.984 0.718 1
S8 S 0.766 0.016 0.282 1
Ac1 Ac 0.500 0.000 0.500 1
Ac2 Ac 0.000 0.500 0.500 1
Ac3 Ac 0.500 0.500 0.500 1
Ca1 Ca 0.000 0.000 0.500 1
Ba1 Ba 0.500 0.500 0.000 1
Ba2 Ba 0.000 0.500 0.000 1
Ba3 Ba 0.000 0.000 0.000 1
# Raw formation energy = -2.07 eV per atom
# Space group = R-3m

3.
# PBE Ca2Pb2Au, relaxed
data_Ca2Pb2Au
_chemical_formula_sum 'Ca2 Pb2 Au1'
_cell_length_a 3.628
_cell_length_b 4.766
_cell_length_c 8.376
_cell_angle_alpha 106.53
_cell_angle_beta 90.00
_cell_angle_gamma 90.00
_space_group_name_H-M_alt 'P 1'
_space_group_IT_number 1
_space_group_name_Hall 'P 1'
loop_
_atom_site_label
_atom_site_type_symbol
_atom_site_fract_x
_atom_site_fract_y
_atom_site_fract_z
_atom_site_occupancy
Ca1 Ca 0.000 0.690 0.380 1
Ca2 Ca 0.000 0.923 0.847 1
Au1 Au 0.500 0.114 0.229 1
Pb1 Pb 0.500 0.512 0.024 1
Pb2 Pb 0.500 0.302 0.605 1
# Energy relative to the lowest polymorph listed for this composition = 20.8 meV/atom
# Formation energy = -2.616 eV per formula unit
# Space group = Amm2

4.
# PBE Li8Cu3, relaxed
data_Li8Cu3
_chemical_formula_sum 'Li8 Cu3'
_cell_length_a 4.089
_cell_length_b 4.671
_cell_length_c 10.003
_cell_angle_alpha 105.63
_cell_angle_beta 90.00
_cell_angle_gamma 115.96
_space_group_name_H-M_alt 'P 1'
_space_group_IT_number 1
_space_group_name_Hall 'P 1'
loop_
_atom_site_label
_atom_site_type_symbol
_atom_site_fract_x
_atom_site_fract_y
_atom_site_fract_z
_atom_site_occupancy
Li1 Li 0.632 0.263 0.457 1
Li2 Li 0.368 0.737 0.543 1
Li3 Li 0.548 0.095 0.820 1
Li4 Li 0.269 0.537 0.904 1
Li5 Li 0.731 0.463 0.096 1
Li6 Li 0.179 0.358 0.274 1
Li7 Li 0.452 0.905 0.180 1
Li8 Li 0.821 0.642 0.726 1
Cu1 Cu 0.000 0.000 0.000 1
Cu2 Cu 0.087 0.174 0.625 1
Cu3 Cu 0.913 0.826 0.375 1
# Formation energy = 0.010 eV per formula unit
# Space group = C2/m

5.
# PBE GeCNF2, relaxed
data_GeCNF2
_chemical_formula_sum 'Ge1 C1 N1 F2'
_cell_length_a 4.709
_cell_length_b 4.709
_cell_length_c 2.489
_cell_angle_alpha 90.00
_cell_angle_beta 90.00
_cell_angle_gamma 90.00
_space_group_name_H-M_alt 'P 1'
_space_group_IT_number 1
_space_group_name_Hall 'P 1'
loop_
_atom_site_label
_atom_site_type_symbol
_atom_site_fract_x
_atom_site_fract_y
_atom_site_fract_z
_atom_site_occupancy
F1 F 0.000 0.500 0.000 1
F2 F 0.500 0.000 0.000 1
N1 N 0.000 0.000 0.500 1
C1 C 0.000 0.000 0.000 1
Ge1 Ge 0.500 0.500 0.500 1
# Raw formation energy = -0.27 eV per atom
# Energy relative to the lowest polymorph listed for this composition = 0.0 meV/atom
# Space group = P4/mmm

6.
# PBE YS2ClO, relaxed
data_YS2ClO
_chemical_formula_sum 'Y1 S2 Cl1 O1'
_cell_length_a 5.388
_cell_length_b 5.388
_cell_length_c 5.226
_cell_angle_alpha 90.00
_cell_angle_beta 90.00
_cell_angle_gamma 90.00
_space_group_name_H-M_alt 'P 1'
_space_group_IT_number 1
_space_group_name_Hall 'P 1'
loop_
_atom_site_label
_atom_site_type_symbol
_atom_site_fract_x
_atom_site_fract_y
_atom_site_fract_z
_atom_site_occupancy
Cl1 Cl 0.000 0.000 0.500 1
O1 O 0.500 0.500 0.500 1
Y1 Y 0.000 0.000 0.000 1
S1 S 0.500 0.000 0.000 1
S2 S 0.000 0.500 0.000 1
# Raw formation energy = -0.13 eV per atom
# Energy relative to the lowest polymorph listed for this composition = 357.7 meV/atom
# Space group = P4/mmm

7.
# PBE SiRu, relaxed
data_SiRu
_chemical_formula_sum 'Si2 Ru2'
_cell_length_a 4.638
_cell_length_b 5.397
_cell_length_c 2.888
_cell_angle_alpha 74.48
_cell_angle_beta 71.86
_cell_angle_gamma 49.45
_space_group_name_H-M_alt 'P 1'
_space_group_IT_number 1
_space_group_name_Hall 'P 1'
loop_
_atom_site_label
_atom_site_type_symbol
_atom_site_fract_x
_atom_site_fract_y
_atom_site_fract_z
_atom_site_occupancy
Ru1 Ru 0.897 0.590 0.757 1
Ru2 Ru 0.019 0.994 0.993 1
Si1 Si 0.394 0.104 0.251 1
Si2 Si 0.522 0.479 0.499 1
# Raw formation energy = -0.57 eV per atom
# Space group = C2/m

8.
# PBE Al2SiSe, relaxed
data_Al2SiSe
_chemical_formula_sum 'Al2 Si1 Se1'
_cell_length_a 4.684
_cell_length_b 4.684
_cell_length_c 4.684
_cell_angle_alpha 60.00
_cell_angle_beta 60.00
_cell_angle_gamma 60.00
_space_group_name_H-M_alt 'P 1'
_space_group_IT_number 1
_space_group_name_Hall 'P 1'
loop_
_atom_site_label
_atom_site_type_symbol
_atom_site_fract_x
_atom_site_fract_y
_atom_site_fract_z
_atom_site_occupancy
Se1 Se 0.500 0.500 0.500 1
Al1 Al 0.250 0.250 0.250 1
Al2 Al 0.000 0.000 0.000 1
Si1 Si 0.750 0.750 0.750 1
# Raw formation energy = 0.35 eV per atom
# Energy relative to the lowest polymorph listed for this composition = 650.4 meV/atom
# Space group = F-43m

9.
# PBE MgCuSCl2, relaxed
data_MgCuSCl2
_chemical_formula_sum 'Mg1 Cu1 S1 Cl2'
_cell_length_a 4.562
_cell_length_b 4.562
_cell_length_c 4.915
_cell_angle_alpha 90.00
_cell_angle_beta 90.00
_cell_angle_gamma 90.00
_space_group_name_H-M_alt 'P 1'
_space_group_IT_number 1
_space_group_name_Hall 'P 1'
loop_
_atom_site_label
_atom_site_type_symbol
_atom_site_fract_x
_atom_site_fract_y
_atom_site_fract_z
_atom_site_occupancy
Mg1 Mg 0.500 0.500 0.500 1
Cl1 Cl 0.000 0.500 0.000 1
Cl2 Cl 0.500 0.000 0.000 1
Cu1 Cu 0.000 0.000 0.000 1
S1 S 0.000 0.000 0.500 1
# Raw formation energy = -0.38 eV per atom
# Energy relative to the lowest polymorph listed for this composition = 0.0 meV/atom
# Space group = P4/mmm

10.
# PBE Tb5Sm4Er2, relaxed
data_Tb5Sm4Er2
_chemical_formula_sum 'Tb5 Sm4 Er2'
_cell_length_a 6.883
_cell_length_b 6.950
_cell_length_c 9.416
_cell_angle_alpha 78.97
_cell_angle_beta 68.56
_cell_angle_gamma 60.32
_space_group_name_H-M_alt 'P 1'
_space_group_IT_number 1
_space_group_name_Hall 'P 1'
loop_
_atom_site_label
_atom_site_type_symbol
_atom_site_fract_x
_atom_site_fract_y
_atom_site_fract_z
_atom_site_occupancy
Tb1 Tb 0.233 0.165 0.830 1
Tb2 Tb 0.767 0.835 0.170 1
Tb3 Tb 0.228 0.835 0.170 1
Tb4 Tb 0.772 0.165 0.830 1
Tb5 Tb 0.000 0.500 0.500 1
Sm1 Sm 0.279 0.289 0.153 1
Sm2 Sm 0.683 0.130 0.504 1
Sm3 Sm 0.721 0.711 0.847 1
Sm4 Sm 0.317 0.870 0.496 1
Er1 Er 0.260 0.638 0.841 1
Er2 Er 0.740 0.362 0.159 1
# Energy relative to the lowest polymorph listed for this composition = 142.3 meV/atom
# Formation energy = 1.725 eV per formula unit
# Space group = C2/m

11.
# PBE AuSe2Br, relaxed
data_AuSe2Br
_chemical_formula_sum 'Au1 Se2 Br1'
_cell_length_a 3.702
_cell_length_b 3.702
_cell_length_c 7.055
_cell_angle_alpha 90.00
_cell_angle_beta 90.00
_cell_angle_gamma 90.00
_space_group_name_H-M_alt 'P 1'
_space_group_IT_number 1
_space_group_name_Hall 'P 1'
loop_
_atom_site_label
_atom_site_type_symbol
_atom_site_fract_x
_atom_site_fract_y
_atom_site_fract_z
_atom_site_occupancy
Se1 Se 0.000 0.000 0.421 1
Se2 Se 0.000 0.000 0.079 1
Br1 Br 0.500 0.500 0.750 1
Au1 Au 0.500 0.500 0.250 1
# Raw formation energy = 0.39 eV per atom
# Space group = P4/mmm

12.
# PBE AlIn2IrRh, relaxed
data_AlIn2IrRh
_chemical_formula_sum 'Al1 In2 Ir1 Rh1'
_cell_length_a 5.128
_cell_length_b 4.830
_cell_length_c 5.128
_cell_angle_alpha 90.00
_cell_angle_beta 90.00
_cell_angle_gamma 90.00
_space_group_name_H-M_alt 'P 1'
_space_group_IT_number 1
_space_group_name_Hall 'P 1'
loop_
_atom_site_label
_atom_site_type_symbol
_atom_site_fract_x
_atom_site_fract_y
_atom_site_fract_z
_atom_site_occupancy
Al1 Al 0.500 0.500 0.500 1
In1 In 0.500 0.000 0.000 1
In2 In 0.000 0.000 0.500 1
Rh1 Rh 0.000 0.500 0.000 1
Ir1 Ir 0.000 0.000 0.000 1
# Formation energy = 3.131 eV per formula unit
# Space group = P4/mmm

Number 1: V 232 Å³/cell. Number 2: V 480 Å³/cell. Number 3: V 139 Å³/cell. Number 4: V 164 Å³/cell. Number 5: V 55 Å³/cell. Number 6: V 152 Å³/cell. Number 7: V 52 Å³/cell. Number 8: V 73 Å³/cell. Number 9: V 102 Å³/cell. Number 10: V 364 Å³/cell. Number 11: V 97 Å³/cell. Number 12: V 127 Å³/cell.